Record 1
First-principles (GGA-PBE) data for Sc2SnIr after structural relaxation, as listed in Alexandria.

Summary:
total DFT energy (no corrections) = -7.0815 eV/atom
energy of formation = -700 meV per atom
symmetry = P4/mmm (123)

Structure (extended XYZ):
```
4
Lattice="4.514 0.000 0.000 0.000 4.514 0.000 0.000 0.000 3.793" Properties=species:S:1:pos:R:3 pbc="T T T"
Sc 0.000 2.257 0.000
Sc 2.257 0.000 0.000
Sn 0.000 0.000 1.897
Ir 2.257 2.257 1.897
```

Record 2
First-principles (GGA-PBE) data for Sc2SnIr after structural relaxation, as listed in Alexandria.

Summary:
total DFT energy (no corrections) = -6.7466 eV/atom
energy of formation = -365 meV per atom
symmetry = I-42d (122)

Structure (extended XYZ):
```
8
Lattice="-3.808 3.808 3.032 3.808 -3.808 3.032 3.808 3.808 -3.032" Properties=species:S:1:pos:R:3 pbc="T T T"
Sc 5.712 1.522 -0.758
Sc 1.522 1.904 0.758
Sc -1.904 2.286 2.274
Sc 2.286 1.904 3.790
Sn 3.808 0.000 1.516
Sn 0.000 0.000 3.032
Ir 0.000 0.000 0.000
Ir 0.000 3.808 1.516
```

Record 3
First-principles (GGA-PBE) data for ScSn2Ir2 after structural relaxation, as listed in Alexandria.

Summary:
total DFT energy (no corrections) = -6.6664 eV/atom
energy of formation = -255 meV per atom
symmetry = I4/mmm (139)

Structure (extended XYZ):
```
5
Lattice="-2.056 2.056 6.080 2.056 -2.056 6.080 2.056 2.056 -6.080" Properties=species:S:1:pos:R:3 pbc="T T T"
Sc 0.000 0.000 0.000
Sn 2.056 0.000 3.040
Sn 0.000 2.056 3.040
Ir 0.000 0.000 4.853
Ir 0.000 0.000 7.306
```

Record 4
First-principles (GGA-PBE) data for Sc11Sn9Ir4 after structural relaxation, as listed in Alexandria.

Summary:
total DFT energy (no corrections) = -6.5981 eV/atom
energy of formation = -718 meV per atom
symmetry = Cmmm (65)

Structure (extended XYZ):
```
24
Lattice="6.993 -10.517 0.000 6.993 10.517 0.000 0.000 0.000 3.438" Properties=species:S:1:pos:R:3 pbc="T T T"
Sc 0.000 0.000 0.000
Sc 3.401 3.609 0.000
Sc 6.993 7.210 0.000
Sc 4.382 0.000 0.000
Sc 6.993 2.616 0.000
Sc 3.401 -3.609 0.000
Sc 10.585 3.609 0.000
Sc 6.993 -2.616 0.000
Sc 9.603 0.000 0.000
Sc 6.993 -7.210 0.000
Sc 10.585 -3.609 0.000
Sn 2.016 1.559 1.719
Sn 5.470 5.012 1.719
Sn 2.016 -1.559 1.719
Sn 8.515 5.012 1.719
Sn 6.993 0.000 1.719
Sn 5.470 -5.012 1.719
Sn 11.970 1.559 1.719
Sn 8.515 -5.012 1.719
Sn 11.970 -1.559 1.719
Ir 4.820 2.169 1.719
Ir 4.820 -2.169 1.719
Ir 9.165 2.169 1.719
Ir 9.165 -2.169 1.719
```

Record 5
First-principles (GGA-PBE) data for ScSn3Ir after structural relaxation, as listed in Alexandria.

Summary:
total DFT energy (no corrections) = -4.2403 eV/atom
energy of formation = 1200 meV per atom
symmetry = Pm-3m (221)

Structure (extended XYZ):
```
5
Lattice="5.297 0.000 0.000 0.000 5.297 0.000 0.000 0.000 5.297" Properties=species:S:1:pos:R:3 pbc="T T T"
Sc 0.000 0.000 0.000
Sn 0.000 0.000 2.648
Sn 0.000 2.648 0.000
Sn 2.648 0.000 0.000
Ir 2.648 2.648 2.648
```

Record 6
First-principles (GGA-PBE) data for Sc8Sn2Ir after structural relaxation, as listed in Alexandria.

Summary:
total DFT energy (no corrections) = -6.6254 eV/atom
energy of formation = -487 meV per atom
symmetry = C2/m (12)

Structure (extended XYZ):
```
11
Lattice="9.079 -2.355 0.000 9.079 2.355 0.000 -1.798 0.000 5.888" Properties=species:S:1:pos:R:3 pbc="T T T"
Sc -0.145 0.000 1.694
Sc 2.545 0.000 4.828
Sc 5.543 0.000 2.917
Sc 7.394 0.000 0.245
Sc 8.967 0.000 5.642
Sc 10.818 0.000 2.971
Sc 13.815 0.000 1.060
Sc 16.506 0.000 4.194
Sn 2.807 0.000 1.478
Sn 13.554 0.000 4.410
Ir 8.180 0.000 2.944
```

Record 7
First-principles (GGA-PBE) data for Sc6SnIr5 after structural relaxation, as listed in Alexandria.

Summary:
total DFT energy (no corrections) = -8.0921 eV/atom
energy of formation = -901 meV per atom
symmetry = Immm (71)

Structure (extended XYZ):
```
12
Lattice="-2.270 3.425 6.826 2.270 -3.425 6.826 2.270 3.425 -6.826" Properties=species:S:1:pos:R:3 pbc="T T T"
Sc 2.270 1.651 -2.354
Sc 0.000 1.586 0.000
Sc 2.270 1.651 2.354
Sc 0.000 1.775 4.471
Sc 0.000 5.264 0.000
Sc 0.000 1.775 9.180
Sn 0.000 0.000 6.826
Ir 2.270 0.000 0.000
Ir 0.000 0.000 2.302
Ir 2.270 0.000 4.598
Ir 0.000 3.425 2.228
Ir 0.000 0.000 11.349
```

Record 8
First-principles (GGA-PBE) data for Sc2SnIr after structural relaxation, as listed in Alexandria.

Summary:
total DFT energy (no corrections) = -7.1693 eV/atom
energy of formation = -788 meV per atom
symmetry = P4/mmm (123)

Structure (extended XYZ):
```
4
Lattice="3.163 0.000 0.000 0.000 3.163 0.000 0.000 0.000 7.940" Properties=species:S:1:pos:R:3 pbc="T T T"
Sc 0.000 0.000 1.687
Sc 0.000 0.000 6.253
Sn 1.581 1.581 3.970
Ir 1.581 1.581 0.000
```

Summary of ρ in Mg/m³
8.612, 7.571, 10.773, 7.658, 6.630, 5.206, 10.556, 8.380
(order as listed above)